[1]
ScAu2 | meta-GGA SCAN | PBEsol geometry

a = 4.688 Å, b = 4.688 Å, c = 5.674 Å
α = 90.00°, β = 90.00°, γ = 120.00°
Element x y z (fractional)
Sc 0.333 0.667 0.250
Sc 0.667 0.333 0.750
Au 0.000 0.000 0.000
Au 0.000 0.000 0.500
Au 0.333 0.667 0.750
Au 0.667 0.333 0.250

## Properties
- Magnetic moment: 0.00 μB per cell
- Uncorrected energy: -155.18 eV/f.u.
- ΔH_f (0 K): -0.88 eV per atom



[2]
KTe2Rh | meta-GGA SCAN | PBEsol geometry

a = 4.551 Å, b = 6.857 Å, c = 6.857 Å
α = 38.08°, β = 90.00°, γ = 90.00°
Element x y z (fractional)
K 0.000 0.000 0.000
Te 0.000 0.294 0.294
Te 0.500 0.623 0.623
Rh 0.500 0.212 0.212

## Properties
- Magnetic moment: 0.00 μB per cell
- Uncorrected energy: -118.54 eV/f.u.



[3]
Zr2SiMo | meta-GGA SCAN | PBEsol geometry

a = 5.446 Å, b = 5.446 Å, c = 5.446 Å
α = 143.60°, β = 131.33°, γ = 62.28°
Element x y z (fractional)
Zr 0.000 0.000 0.000
Zr 0.735 0.235 0.500
Si 0.459 0.459 0.000
Mo 0.246 0.746 0.500

## Properties
- Magnetic moment: 0.00 μB per cell
- Uncorrected energy: -107.27 eV/f.u.



[4]
BiSe2BrN | meta-GGA SCAN | PBEsol geometry

a = 5.321 Å, b = 5.321 Å, c = 3.742 Å
α = 90.00°, β = 90.00°, γ = 90.00°
Element x y z (fractional)
Bi 0.000 0.000 0.000
Se 0.000 0.500 0.500
Se 0.500 0.000 0.500
Br 0.500 0.500 0.500
N 0.500 0.500 0.000

## Properties
- Magnetic moment: 0.00 μB per cell
- Uncorrected energy: -141.20 eV/f.u.



[5]
ZnSb2Pb | meta-GGA SCAN | PBEsol geometry

a = 5.937 Å, b = 5.937 Å, c = 5.937 Å
α = 142.51°, β = 125.91°, γ = 67.66°
Element x y z (fractional)
Zn 0.000 0.000 0.000
Sb 0.546 0.546 0.000
Sb 0.782 0.282 0.500
Pb 0.243 0.743 0.500

## Properties
- Magnetic moment: 0.00 μB per cell
- Uncorrected energy: -162.91 eV/f.u.



[6]
Er12Ga9Ge11 | meta-GGA SCAN | PBEsol geometry

a = 18.519 Å, b = 5.879 Å, c = 5.879 Å
α = 102.89°, β = 90.00°, γ = 90.00°
Element x y z (fractional)
Er 0.000 0.000 0.000
Er 0.125 0.455 0.852
Er 0.125 0.852 0.455
Er 0.251 0.308 0.308
Er 0.375 0.457 0.858
Er 0.375 0.858 0.457
Er 0.500 0.007 0.007
Er 0.625 0.457 0.858
Er 0.625 0.858 0.457
Er 0.749 0.308 0.308
Er 0.875 0.455 0.852
Er 0.875 0.852 0.455
Ga 0.100 0.331 0.331
Ga 0.150 0.976 0.976
Ga 0.350 0.978 0.978
Ga 0.402 0.342 0.342
Ga 0.500 0.620 0.620
Ga 0.598 0.342 0.342
Ga 0.650 0.978 0.978
Ga 0.850 0.976 0.976
Ga 0.900 0.331 0.331
Ge 0.000 0.158 0.564
Ge 0.000 0.564 0.158
Ge 0.000 0.614 0.614
Ge 0.250 0.150 0.744
Ge 0.250 0.694 0.694
Ge 0.250 0.744 0.150
Ge 0.500 0.161 0.571
Ge 0.500 0.571 0.161
Ge 0.750 0.150 0.744
Ge 0.750 0.694 0.694
Ge 0.750 0.744 0.150

## Properties
- Magnetic moment: 0.00 μB per cell
- Uncorrected energy: -986.72 eV/f.u.
- ΔH_f (0 K): -0.80 eV per atom



[7]
Be2SiAu | meta-GGA SCAN | PBEsol geometry

a = 2.971 Å, b = 4.055 Å, c = 4.571 Å
α = 90.00°, β = 108.76°, γ = 90.00°
Element x y z (fractional)
Be 0.000 0.000 0.000
Be 0.137 0.500 0.274
Si 0.437 0.500 0.869
Au 0.276 0.000 0.545

## Properties
- Magnetic moment: 0.00 μB per cell
- Uncorrected energy: -87.89 eV/f.u.



[8]
Cs2AuBr | meta-GGA SCAN | PBEsol geometry

a = 5.959 Å, b = 5.959 Å, c = 5.959 Å
α = 60.00°, β = 60.00°, γ = 60.00°
Element x y z (fractional)
Cs 0.250 0.250 0.250
Cs 0.750 0.750 0.750
Au 0.000 0.000 0.000
Br 0.500 0.500 0.500

## Properties
- Magnetic moment: 0.00 μB per cell
- Uncorrected energy: -169.05 eV/f.u.



[9]
ZrAsBr2 | meta-GGA SCAN | PBEsol geometry

a = 7.824 Å, b = 7.824 Å, c = 7.824 Å
α = 155.11°, β = 147.86°, γ = 41.07°
Element x y z (fractional)
Zr 0.000 0.000 0.000
As 0.500 0.500 0.000
Br 0.156 0.656 0.500
Br 0.844 0.344 0.500

## Properties
- Magnetic moment: 0.00 μB per cell
- Uncorrected energy: -92.96 eV/f.u.



[10]
InAsW | meta-GGA SCAN | PBEsol geometry

a = 5.358 Å, b = 5.358 Å, c = 5.358 Å
α = 144.10°, β = 144.10°, γ = 51.67°
Element x y z (fractional)
In 0.000 0.000 0.000
As 0.305 0.305 0.000
W 0.690 0.690 0.000

## Properties
- Magnetic moment: 0.00 μB per cell
- Uncorrected energy: -122.39 eV/f.u.
- ΔH_f (0 K): 0.29 eV per atom



[11]
AlRe3 | meta-GGA SCAN | PBEsol geometry

a = 2.792 Å, b = 2.792 Å, c = 8.605 Å
α = 90.00°, β = 90.00°, γ = 120.00°
Element x y z (fractional)
Al 0.000 0.000 0.000
Re 0.000 0.000 0.500
Re 0.333 0.667 0.250
Re 0.333 0.667 0.750

## Properties
- Magnetic moment: 0.00 μB per cell
- Uncorrected energy: -221.60 eV/f.u.
- ΔH_f (0 K): -0.14 eV per atom



[12]
ZnSbIr2 | meta-GGA SCAN | PBEsol geometry

a = 4.542 Å, b = 4.542 Å, c = 3.029 Å
α = 90.00°, β = 90.00°, γ = 98.98°
Element x y z (fractional)
Zn 0.000 0.000 0.000
Sb 0.500 0.500 0.000
Ir 0.000 0.500 0.500
Ir 0.500 0.000 0.500

## Properties
- Magnetic moment: 0.00 μB per cell
- Uncorrected energy: -192.65 eV/f.u.